(1)
Compound: Li2ZrMo
Source: Alexandria
Functional: PBE
Structure: relaxed

a b c (Å): 2.7071 5.2141 5.1099
angles (deg): 90.00 99.67 90.00
Element x y z (fractional)
Li1 0.2419 0.0000 0.2713
Li2 0.7581 0.0000 0.7287
Zr1 0.5000 0.5000 0.0000
Mo1 0.0000 0.5000 0.5000

Summary:
ΔE to the lowest computed polymorph: 83 meV/atom
VASP energy: -5.495 eV per atom
Fermi-level density of states: 2.17 states/eV/f.u.
Symmetry: P2/m, No. 10


(2)
Compound: BeZnRh
Source: Alexandria
Functional: PBE
Structure: relaxed

a b c (Å): 6.3364 6.0777 2.6890
angles (deg): 82.94 72.15 24.91
Element x y z (fractional)
Be1 0.0000 0.0000 0.0000
Zn1 0.3307 0.3307 0.6693
Rh1 0.6441 0.6441 0.3559

Summary:
ΔE to the lowest computed polymorph: 374 meV/atom
VASP energy: -4.213 eV per atom
Fermi-level density of states: 0.87 states/eV/f.u.
Symmetry: Fmm2, No. 42


| no. | M_tot (μB per formula unit) | energy of formation from the pure elements (eV per formula unit) |
| --- | --- | --- |
| 1 | 0.00 | 1.2 |
| 2 | 0.00 | -0.3 |